Record 1
! LiZr3Cl | Alexandria | GGA-PBE | relaxed; values from VASP
! Polymorph energy (0 for the lowest one)   0.00 kJ/mol of atoms
! Crystal system   cubic
&SYSTEM
  ibrav = 0, nat = 5, ntyp = 3
/
ATOMIC_SPECIES
Li 6.94 Li.upf
Zr 91.22 Zr.upf
Cl 35.45 Cl.upf
CELL_PARAMETERS angstrom
-0.8063 -3.3053 -3.4439
4.6332 0.2986 -1.3714
1.1488 -3.5244 3.1136
ATOMIC_POSITIONS crystal
Li 0.5000 0.5000 0.5000
Zr 0.0000 0.5000 0.0000
Zr 0.0000 0.0000 0.5000
Zr 0.5000 0.0000 0.0000
Cl 0.0000 0.0000 0.0000

Record 2
! LiZrCl2 | Alexandria | GGA-PBE | relaxed; values from VASP
! Polymorph energy (0 for the lowest one)   20.93 kJ/mol of atoms
! Crystal system   monoclinic
&SYSTEM
  ibrav = 0, nat = 4, ntyp = 3
/
ATOMIC_SPECIES
Cl 35.45 Cl.upf
Li 6.94 Li.upf
Zr 91.22 Zr.upf
CELL_PARAMETERS angstrom
5.2508 0.0000 0.0000
0.0000 3.3478 0.0168
0.0000 1.6589 4.6308
ATOMIC_POSITIONS crystal
Cl 0.0000 0.8556 0.9141
Cl 0.5000 0.1925 0.2374
Li 0.0000 0.5384 0.5502
Zr 0.5000 0.9135 0.7983

Record 3
! LuCl | Alexandria | GGA-PBE | relaxed; values from VASP
! Crystal system   monoclinic
&SYSTEM
  ibrav = 0, nat = 4, ntyp = 2
/
ATOMIC_SPECIES
Lu 174.97 Lu.upf
Cl 35.45 Cl.upf
CELL_PARAMETERS angstrom
3.6318 0.0000 0.0000
0.0000 3.7126 0.1255
0.0000 -0.2563 9.8759
ATOMIC_POSITIONS crystal
Lu 0.2500 0.2526 0.3754
Lu 0.7500 0.7474 0.6246
Cl 0.2500 0.7430 0.8107
Cl 0.7500 0.2570 0.1893

The records above give, respectively, energy relative to the elements, uncorrected values of 11.1 -90.8 -123.8 kJ per mole of atoms.
The records above give, respectively, total moment values of 0.000 0.000 0.000 μB/atom.